ZrTa2Cl | PBE | relaxed

Cell lengths 6.745, 6.745, 6.745 Å; angles 90.00, 90.00, 90.00 degrees
Space group Fm-3m (No. 225)
One atom of each set of equivalent atoms:
1 Zr 0.000 0.000 0.000
2 Ta 0.250 0.250 0.250
3 Cl 0.000 0.000 0.500

Properties
The calculation puts the energy above the most stable polymorph in this dataset at 1069 meV/atom. The calculation puts the total magnetization at 0.0 μB per cell. The value obtained for the total energy is -7.656 eV per atom.


K2LiP | PBE | relaxed

Cell lengths 5.854, 7.997, 4.841 Å; angles 90.00, 90.32, 90.00 degrees
Space group C2/m (No. 12)
One atom of each set of equivalent atoms:
1 K 0.250 0.250 0.000
2 Li 0.000 0.000 0.500
3 P 0.000 0.500 0.500

Properties
Its energy of formation is 0.11 eV/f.u. The calculation puts the total magnetization at 0.0 μB per cell. The value obtained for the total energy is -2.353 eV per atom.


Nd3BiB2Rh9 | PBE | relaxed

Cell lengths 5.9342, 5.9342, 8.9584 Å; angles 90.00, 90.00, 120.00 degrees
Space group P-3m1 (No. 164)
One atom of each set of equivalent atoms:
1 Nd 0.0000 0.0000 0.0000
2 Nd 0.3333 0.6667 0.6843
3 Bi 0.0000 0.0000 0.5000
4 B 0.3333 0.6667 0.1418
5 Rh 0.0000 0.5000 0.0000
6 Rh 0.1649 0.3299 0.2656

Properties
Its energy of formation is -7.62 eV/f.u. The calculation puts the total magnetization at 0.0 μB per cell. The value obtained for the total energy is -7.022 eV per atom.


K2TaAg | PBE | relaxed

Cell lengths 6.474, 12.234, 2.861 Å; angles 90.00, 113.12, 90.00 degrees
Space group C2/m (No. 12)
One atom of each set of equivalent atoms:
1 K 0.250 0.250 0.000
2 Ta 0.000 0.000 0.500
3 Ag 0.000 0.500 0.500

Properties
Its energy of formation is 4.39 eV/f.u. The calculation puts the energy above the most stable polymorph in this dataset at 300 meV/atom. The calculation puts the total magnetization at 0.0 μB per cell. The value obtained for the total energy is -3.127 eV per atom.


NiMo3 | PBE | relaxed

Cell lengths 5.836, 9.088, 4.426 Å; angles 90.00, 90.00, 90.00 degrees
Space group Cmcm (No. 63)
One atom of each set of equivalent atoms:
1 Ni 0.000 0.163 0.250
2 Mo 0.000 0.367 0.750
3 Mo 0.234 0.105 0.750

Properties
Its energy of formation is 0.40 eV/f.u. The calculation puts the total magnetization at 0.0 μB per cell. The value obtained for the total energy is -9.469 eV per atom.


NaHoGa4 | PBE | relaxed

Cell lengths 4.449, 6.954, 7.787 Å; angles 90.00, 90.00, 90.00 degrees
Space group Immm (No. 71)
One atom of each set of equivalent atoms:
1 Na 0.000 0.000 0.000
2 Ho 0.000 0.500 0.000
3 Ga 0.000 0.288 0.332

Properties
Its energy of formation is -2.18 eV/f.u. The calculation puts the total magnetization at 0.0 μB per cell. The value obtained for the total energy is -3.363 eV per atom.


La4Zn3Ni2 | PBE | relaxed

Cell lengths 15.048, 4.371, 6.799 Å; angles 90.00, 108.49, 90.00 degrees
Space group C2/m (No. 12)
One atom of each set of equivalent atoms:
1 La 0.072 0.000 0.351
2 La 0.230 0.500 0.195
3 Zn 0.000 0.500 0.000
4 Zn 0.092 0.500 0.717
5 Ni 0.109 0.000 0.937

Properties
Its energy of formation is -2.64 eV/f.u. The calculation puts the total magnetization at 0.0 μB per cell. The value obtained for the total energy is -4.193 eV per atom.


HfAl2Pd | PBE | relaxed

Cell lengths 15.532, 6.564, 5.380 Å; angles 90.00, 90.00, 90.00 degrees
Space group Pnma (No. 62)
One atom of each set of equivalent atoms:
1 Hf 0.111 0.250 0.231
2 Hf 0.142 0.750 0.463
3 Al 0.029 0.047 0.725
4 Al 0.218 0.550 0.955
5 Pd 0.074 0.750 0.988
6 Pd 0.170 0.250 0.711

Properties
Its energy of formation is -2.52 eV/f.u. The calculation puts the total magnetization at 0.0 μB per cell. The value obtained for the total energy is -6.288 eV per atom.